*i*
DFT (PBE) results for a relaxed GdErAl2 crystal.

Computed properties:
- size of the total moment (μB per formula unit) = 7.06
- volume (Å³ per atom) = 25.440

```
data_GdErAl2
_cell_length_a 3.5562
_cell_length_b 3.5562
_cell_length_c 27.8730
_cell_angle_alpha 90.00
_cell_angle_beta 90.00
_cell_angle_gamma 120.00
_symmetry_space_group_name_H-M 'R -3 m'
_symmetry_Int_Tables_number 166
_symmetry_space_group_name_Hall '-R 3 2"'
loop_
_atom_site_label
_atom_site_fract_x
_atom_site_fract_y
_atom_site_fract_z
Gd1 0.0000 0.0000 0.0000
Er1 0.0000 0.0000 0.5000
Al1 0.0000 0.0000 0.2488
```

*ii*
DFT (PBE) results for a relaxed GdErAl2 crystal.

Computed properties:
- size of the total moment (μB per formula unit) = 7.06
- volume (Å³ per atom) = 23.323

```
data_GdErAl2
_cell_length_a 3.590
_cell_length_b 3.590
_cell_length_c 7.239
_cell_angle_alpha 90.00
_cell_angle_beta 90.00
_cell_angle_gamma 90.00
_symmetry_space_group_name_H-M 'P 4/m m m'
_symmetry_Int_Tables_number 123
_symmetry_space_group_name_Hall '-P 4 2'
loop_
_atom_site_label
_atom_site_fract_x
_atom_site_fract_y
_atom_site_fract_z
Gd1 0.000 0.000 0.000
Er1 0.000 0.000 0.500
Al1 0.500 0.500 0.258
```

The computed energies, referenced to the most stable structure and given in kJ/mol of atoms, are *i* 23.3; *ii* 0.0.

*i*
DFT (PBE) results for a relaxed Gd2ErAl crystal.

Computed properties:
- size of the total moment (μB per formula unit) = 15.34
- volume (Å³ per atom) = 27.115

```
data_Gd2ErAl
_cell_length_a 7.570
_cell_length_b 7.570
_cell_length_c 7.570
_cell_angle_alpha 90.00
_cell_angle_beta 90.00
_cell_angle_gamma 90.00
_symmetry_space_group_name_H-M 'F m -3 m'
_symmetry_Int_Tables_number 225
_symmetry_space_group_name_Hall '-F 4 2 3'
loop_
_atom_site_label
_atom_site_fract_x
_atom_site_fract_y
_atom_site_fract_z
Gd1 0.250 0.250 0.250
Er1 0.000 0.000 0.000
Al1 0.000 0.000 0.500
```

*ii*
DFT (PBE) results for a relaxed Gd2ErAl crystal.

Computed properties:
- size of the total moment (μB per formula unit) = 14.49
- volume (Å³ per atom) = 28.027

```
data_Gd2ErAl
_cell_length_a 3.506
_cell_length_b 3.506
_cell_length_c 9.120
_cell_angle_alpha 90.00
_cell_angle_beta 90.00
_cell_angle_gamma 90.00
_symmetry_space_group_name_H-M 'P 4/m m m'
_symmetry_Int_Tables_number 123
_symmetry_space_group_name_Hall '-P 4 2'
loop_
_atom_site_label
_atom_site_fract_x
_atom_site_fract_y
_atom_site_fract_z
Gd1 0.000 0.000 0.217
Er1 0.500 0.500 0.500
Al1 0.500 0.500 0.000
```

The computed energies, referenced to the most stable structure and given in kJ/mol of atoms, are *i* 7.8; *ii* 0.0.

*i*
DFT (PBE) results for a relaxed Er2AlGe3 crystal.

Computed properties:
- size of the total moment (μB per formula unit) = 0.00
- volume (Å³ per atom) = 20.727

```
data_Er2AlGe3
_cell_length_a 6.824
_cell_length_b 4.149
_cell_length_c 17.570
_cell_angle_alpha 90.00
_cell_angle_beta 90.00
_cell_angle_gamma 90.00
_symmetry_space_group_name_H-M 'P n m a'
_symmetry_Int_Tables_number 62
_symmetry_space_group_name_Hall '-P 2ac 2n'
loop_
_atom_site_label
_atom_site_fract_x
_atom_site_fract_y
_atom_site_fract_z
Er1 0.160 0.250 0.205
Er2 0.167 0.250 0.415
Al1 0.047 0.750 0.065
Ge1 0.047 0.250 0.670
Ge2 0.151 0.250 0.811
Ge3 0.247 0.750 0.535
```

*ii*
DFT (PBE) results for a relaxed Er2AlGe3 crystal.

Computed properties:
- size of the total moment (μB per formula unit) = 0.00
- volume (Å³ per atom) = 22.309

```
data_Er2AlGe3
_cell_length_a 4.425
_cell_length_b 5.918
_cell_length_c 10.223
_cell_angle_alpha 90.00
_cell_angle_beta 90.00
_cell_angle_gamma 90.00
_symmetry_space_group_name_H-M 'I m m m'
_symmetry_Int_Tables_number 71
_symmetry_space_group_name_Hall '-I 2 2'
loop_
_atom_site_label
_atom_site_fract_x
_atom_site_fract_y
_atom_site_fract_z
Er1 0.000 0.000 0.188
Al1 0.000 0.000 0.500
Ge1 0.000 0.500 0.134
Ge2 0.000 0.500 0.500
```

The computed energies, referenced to the most stable structure and given in kJ/mol of atoms, are *i* 0.0; *ii* 23.4.

*i*
DFT (PBE) results for a relaxed ErAlGe2 crystal.

Computed properties:
- size of the total moment (μB per formula unit) = 0.00
- volume (Å³ per atom) = 19.634

```
data_ErAlGe2
_cell_length_a 4.063
_cell_length_b 4.063
_cell_length_c 19.031
_cell_angle_alpha 90.00
_cell_angle_beta 90.00
_cell_angle_gamma 90.00
_symmetry_space_group_name_H-M 'I 4/m m m'
_symmetry_Int_Tables_number 139
_symmetry_space_group_name_Hall '-I 4 2'
loop_
_atom_site_label
_atom_site_fract_x
_atom_site_fract_y
_atom_site_fract_z
Er1 0.000 0.000 0.114
Al1 0.000 0.500 0.250
Ge1 0.000 0.000 0.344
Ge2 0.000 0.500 0.000
```

*ii*
DFT (PBE) results for a relaxed ErAlGe2 crystal.

Computed properties:
- size of the total moment (μB per formula unit) = 0.00
- volume (Å³ per atom) = 20.193

```
data_ErAlGe2
_cell_length_a 4.4055
_cell_length_b 4.4055
_cell_length_c 14.4162
_cell_angle_alpha 90.00
_cell_angle_beta 90.00
_cell_angle_gamma 120.00
_symmetry_space_group_name_H-M 'R -3 m'
_symmetry_Int_Tables_number 166
_symmetry_space_group_name_Hall '-R 3 2"'
loop_
_atom_site_label
_atom_site_fract_x
_atom_site_fract_y
_atom_site_fract_z
Er1 0.0000 0.0000 0.0000
Al1 0.0000 0.0000 0.5000
Ge1 0.0000 0.0000 0.2225
```

The computed energies, referenced to the most stable structure and given in kJ/mol of atoms, are *i* 0.0; *ii* 13.9.